16
Lattice="2.019 -5.215 0.000 2.019 5.215 0.000 0.000 0.000 13.956" Properties=species:S:1:pos:R:3 comment="Pa3P3Ru2 | the Alexandria database | GGA-PBE | optimized geometry" e_form_mev_per_atom=-969 pbc="T T T"
Pa 2.019 4.402 8.502
Pa 2.019 4.402 12.433
Pa 2.019 1.463 10.467
Pa 2.019 -1.463 3.489
Pa 2.019 -4.402 1.523
Pa 2.019 -4.402 5.455
P 2.019 1.498 3.489
P 2.019 1.238 7.591
P 2.019 1.238 13.343
P 2.019 -1.238 0.613
P 2.019 -1.238 6.365
P 2.019 -1.498 10.467
Ru 2.019 2.938 1.468
Ru 2.019 2.938 5.510
Ru 2.019 -2.938 8.446
Ru 2.019 -2.938 12.488



8
Lattice="-1.939 3.386 4.680 1.939 -3.386 4.680 1.939 3.386 -4.680" Properties=species:S:1:pos:R:3 comment="PaP2Ru5 | the Alexandria database | GGA-PBE | optimized geometry" e_form_mev_per_atom=-539 pbc="T T T"
Pa 0.000 0.000 0.000
P 1.939 0.000 2.382
P 0.000 3.386 2.298
Ru 1.939 2.021 -1.345
Ru 1.939 2.021 1.345
Ru 0.000 3.386 0.000
Ru 0.000 1.365 3.335
Ru 0.000 1.365 6.025



30
Lattice="1.951 -9.297 0.000 1.951 9.297 0.000 0.000 0.000 14.618" Properties=species:S:1:pos:R:3 comment="Pa4P6Ru5 | the Alexandria database | GGA-PBE | optimized geometry" e_form_mev_per_atom=-928 pbc="T T T"
Pa 1.951 9.057 7.309
Pa 1.951 8.949 11.012
Pa 1.951 6.106 4.484
Pa 1.951 5.976 13.702
Pa 1.951 -5.976 6.393
Pa 1.951 -6.106 11.793
Pa 1.951 -8.949 3.703
Pa 1.951 -9.057 0.000
P 1.951 7.004 1.720
P 1.951 5.172 7.243
P 1.951 5.070 10.969
P 1.951 1.603 1.837
P 1.951 1.368 5.732
P 1.951 1.296 12.559
P 1.951 -1.296 5.251
P 1.951 -1.368 13.041
P 1.951 -1.603 9.146
P 1.951 -5.070 3.660
P 1.951 -5.172 14.552
P 1.951 -7.004 9.029
Ru 1.951 6.501 9.141
Ru 1.951 3.624 9.087
Ru 1.951 2.889 3.959
Ru 1.951 2.773 14.333
Ru 1.951 0.778 9.303
Ru 1.951 -0.778 1.994
Ru 1.951 -2.773 7.024
Ru 1.951 -2.889 11.267
Ru 1.951 -3.624 1.778
Ru 1.951 -6.501 1.832



8
Lattice="-1.991 1.991 8.905 1.991 -1.991 8.905 1.991 1.991 -8.905" Properties=species:S:1:pos:R:3 comment="PaP2Ru | the Alexandria database | GGA-PBE | optimized geometry" e_form_mev_per_atom=-957 pbc="T T T"
Pa 0.000 0.000 2.003
Pa 0.000 0.000 15.808
P 1.991 0.000 0.000
P 0.000 0.000 5.740
P 0.000 1.991 0.000
P 0.000 0.000 12.071
Ru 1.991 0.000 4.453
Ru 0.000 1.991 4.453



6
Lattice="4.218 -2.535 0.000 4.218 2.535 0.000 -0.311 0.000 5.611" Properties=species:S:1:pos:R:3 comment="PaPRu | the Alexandria database | GGA-PBE | optimized geometry" e_form_mev_per_atom=-584 pbc="T T T"
Pa 1.390 0.000 1.564
Pa 6.735 0.000 4.048
P 1.003 0.000 4.387
P 7.121 0.000 1.224
Ru 3.292 0.000 3.961
Ru 4.833 0.000 1.650



4
Lattice="1.918 1.108 6.934 -1.918 1.108 6.934 0.000 -2.215 6.934" Properties=species:S:1:pos:R:3 comment="Pa2PRu | the Alexandria database | GGA-PBE | optimized geometry" e_form_mev_per_atom=-776 pbc="T T T"
Pa 0.000 0.000 5.149
Pa 0.000 0.000 15.653
P 0.000 0.000 0.000
Ru 0.000 0.000 10.401



8
Lattice="5.722 0.000 0.000 0.000 3.909 0.000 -2.663 0.000 7.372" Properties=species:S:1:pos:R:3 comment="Pa2PRu | the Alexandria database | GGA-PBE | optimized geometry" e_form_mev_per_atom=-810 pbc="T T T"
Pa 0.045 0.977 3.036
Pa 1.452 2.932 0.517
Pa 1.607 0.977 6.855
Pa 3.014 2.932 4.336
P 0.250 2.932 5.135
P 2.809 0.977 2.238
Ru -1.399 0.977 5.891
Ru 4.458 2.932 1.481



17
Lattice="-4.095 4.095 4.095 4.095 -4.095 4.095 4.095 4.095 -4.095" Properties=species:S:1:pos:R:3 comment="Pa4P6Ru7 | the Alexandria database | GGA-PBE | optimized geometry" e_form_mev_per_atom=-940 pbc="T T T"
Pa 2.048 2.048 -2.048
Pa 2.048 -2.048 2.048
Pa -2.048 2.048 2.048
Pa 2.048 2.048 2.048
P 2.563 0.000 0.000
P 5.628 0.000 0.000
P 0.000 2.563 0.000
P 0.000 0.000 2.563
P 0.000 5.628 0.000
P 0.000 0.000 5.628
Ru 0.000 0.000 0.000
Ru 4.095 2.048 0.000
Ru 4.095 0.000 2.048
Ru 2.048 4.095 0.000
Ru 2.048 0.000 4.095
Ru 0.000 4.095 2.048
Ru 0.000 2.048 4.095